# 1
First-principles (PBE) data for CsBiO2 after structural relaxation, as listed in Alexandria.

Geometry as POSCAR:
```
CsBiO2
1.0
6.382 0.000 0.000
0.000 6.427 0.000
-4.867 0.000 10.264
Cs Bi O
4 4 8
direct
0.129 0.233 0.119
0.129 0.767 0.619
0.871 0.233 0.381
0.871 0.767 0.881
0.426 0.313 0.879
0.426 0.687 0.379
0.574 0.313 0.621
0.574 0.687 0.121
0.268 0.320 0.650
0.268 0.680 0.150
0.365 0.366 0.394
0.365 0.634 0.894
0.635 0.366 0.106
0.635 0.634 0.606
0.732 0.320 0.850
0.732 0.680 0.350
```

---

# 2
First-principles (PBE) data for Cs8Bi3O8 after structural relaxation, as listed in Alexandria.

Geometry as POSCAR:
```
Cs8Bi3O8
1.0
10.707 -3.001 0.000
10.707 3.001 0.000
-2.869 0.000 9.290
Cs Bi O
8 3 8
direct
0.051 0.051 0.219
0.132 0.132 0.704
0.322 0.322 0.574
0.407 0.407 0.061
0.593 0.593 0.939
0.678 0.678 0.426
0.868 0.868 0.296
0.949 0.949 0.781
0.225 0.225 0.159
0.500 0.500 0.500
0.775 0.775 0.841
0.127 0.127 0.002
0.194 0.194 0.339
0.334 0.334 0.278
0.471 0.471 0.702
0.529 0.529 0.298
0.666 0.666 0.722
0.806 0.806 0.661
0.873 0.873 0.998
```

---

# 3
First-principles (PBE) data for Cs5BiO5 after structural relaxation, as listed in Alexandria.

Geometry as POSCAR:
```
Cs5BiO5
1.0
6.791 -2.757 0.000
6.791 2.757 0.000
-2.754 0.000 7.794
Cs Bi O
5 1 5
direct
0.000 0.000 0.000
0.324 0.324 0.209
0.337 0.337 0.672
0.663 0.663 0.328
0.676 0.676 0.791
0.000 0.000 0.500
0.111 0.111 0.753
0.124 0.124 0.395
0.500 0.500 0.500
0.876 0.876 0.605
0.889 0.889 0.247
```

---

# 4
First-principles (PBE) data for CsBi6O8 after structural relaxation, as listed in Alexandria.

Geometry as POSCAR:
```
CsBi6O8
1.0
9.444 0.000 0.000
-4.722 8.179 0.000
0.000 0.000 3.750
Cs Bi O
1 6 8
direct
0.000 0.000 0.000
0.146 0.447 0.263
0.301 0.854 0.263
0.447 0.301 0.737
0.553 0.699 0.263
0.699 0.146 0.737
0.854 0.553 0.737
0.026 0.699 0.262
0.301 0.328 0.262
0.328 0.026 0.738
0.333 0.667 0.693
0.667 0.333 0.307
0.672 0.974 0.262
0.699 0.672 0.738
0.974 0.301 0.738
```

---

What did we get for uncorrected energy? Answer: -4.992 -4.100 -4.056 -5.185 eV/atom, in the order shown.